A plane-wave DFT calculation with PBE with a Hubbard U was carried out for a geometry-optimized PWS2F structure.

Summary:
M_tot   1.3 μB per cell
E above lowest polymorph   767 meV per atom
Crystal system   tetragonal

```
data_PWS2F
_chemical_formula_sum 'P1 W1 S2 F1'
_symmetry_space_group_name_H-M 'P 4/m m m'
_symmetry_Int_Tables_number 123
_symmetry_space_group_name_Hall '-P 4 2'
_cell_length_a 4.9176
_cell_length_b 4.9176
_cell_length_c 3.5294
_cell_angle_alpha 90.00
_cell_angle_beta 90.00
_cell_angle_gamma 90.00
loop_
_atom_site_label
_atom_site_fract_x
_atom_site_fract_y
_atom_site_fract_z
P1 0.0000 0.0000 0.0000
W1 0.5000 0.5000 0.0000
S1 0.0000 0.5000 0.5000
F1 0.0000 0.0000 0.5000
```